The following is a DFT calculation (PBE) of a relaxed Mn2PdAu9 crystal.

The structure in POSCAR format:
```
Mn2PdAu9
1.0
4.1330 0.0000 0.0000
0.0000 4.1330 0.0000
0.0000 0.0000 12.2175
Mn Pd Au
2 1 9
Cartesian
0.0000 0.0000 4.0336
0.0000 0.0000 8.1838
0.0000 0.0000 0.0000
2.0665 2.0665 0.0000
2.0665 2.0665 4.0760
2.0665 2.0665 8.1415
2.0665 0.0000 2.0529
2.0665 0.0000 6.1087
2.0665 0.0000 10.1645
0.0000 2.0665 2.0529
0.0000 2.0665 6.1087
0.0000 2.0665 10.1645
```

Values from the calculation:
ΔH_f (0 K) (eV/f.u.): -0.52
VASP energy (eV per atom): -4.462
Density of states at the Fermi level (states/eV/f.u.): 5.17
Magnetization (μB/cell): 8.85

The following is a DFT calculation (PBE) of a relaxed TbPm6Tl4 crystal.

The structure in POSCAR format:
```
TbPm6Tl4
1.0
8.2093 -0.3376 -0.4965
-4.0949 7.1231 0.4965
-4.0949 -2.1572 6.8067
Tb Pm Tl
1 6 4
Cartesian
0.0000 0.0000 0.0000
-5.8524 5.2915 4.0336
-5.8524 1.8057 6.4039
4.3264 0.2739 0.4028
2.0572 -1.2474 3.1551
-0.7920 2.2232 3.2695
2.0572 3.3928 0.0000
-3.5214 0.5752 4.2009
2.1577 1.7719 2.6059
-3.5214 3.6951 2.0794
-3.2853 3.5520 5.2237
```

Values from the calculation:
ΔH_f (0 K) (eV/f.u.): -0.59
VASP energy (eV per atom): -3.926
Density of states at the Fermi level (states/eV/f.u.): 13.72
Magnetization (μB/cell): 0.00

The following is a DFT calculation (PBE) of a relaxed LaPaMnSi2 crystal.

The structure in POSCAR format:
```
LaPaMnSi2
1.0
-3.7947 1.4423 -0.8261
-1.3034 -1.3046 3.7096
4.0964 5.4190 1.0318
La Pa Mn Si
1 1 1 2
Cartesian
0.0000 0.0000 0.0000
-1.1236 3.4651 0.8238
0.1220 2.0917 3.0916
-2.2471 1.1396 1.9244
1.2455 4.4172 1.9910
```

Values from the calculation:
VASP energy (eV per atom): -7.212
Density of states at the Fermi level (states/eV/f.u.): 5.48
ΔE_f (raw) (meV/atom): -324
Magnetization (μB/cell): 1.44

The following is a DFT calculation (PBE) of a relaxed Na7SN12 crystal.

The structure in POSCAR format:
```
Na7SN12
1.0
-7.4155 2.9476 2.3032
4.8395 -2.5905 6.2330
3.8818 4.4402 -5.8479
Na S N
7 1 12
Cartesian
1.7247 3.6636 -3.8911
5.9631 3.0303 0.0951
-2.7754 6.0082 -0.9743
0.6529 2.3987 1.3442
4.0812 -1.2109 3.6626
-4.6573 1.7670 2.5932
-0.4188 1.1337 6.5795
0.0000 0.0000 0.0000
-1.3835 1.6781 4.2408
-2.8937 3.0803 1.2288
-1.7850 1.1623 3.2720
-2.2512 4.0561 1.2598
1.9582 0.2436 3.9342
1.6013 1.2763 4.3490
-0.2955 3.5210 -1.6607
-0.6523 4.5537 -1.2459
3.5571 0.7412 1.4286
3.0908 3.6350 -0.5836
4.1995 1.7170 1.4595
2.6893 3.1192 -1.5524
```

Values from the calculation:
VASP energy (eV per atom): -5.789
Density of states at the Fermi level (states/eV/f.u.): 11.60
ΔE_f (raw) (meV/atom): -126
Magnetization (μB/cell): 0.00

The following is a DFT calculation (PBE) of a relaxed Na2CaTl2Cd crystal.

The structure in POSCAR format:
```
Na2CaTl2Cd
1.0
-3.9559 -2.1719 2.2228
-1.9427 -2.8148 -6.2079
5.3753 -7.8632 1.8832
Na Ca Tl Cd
4 2 4 2
Cartesian
-1.8813 -1.4628 0.9151
0.3069 -2.2818 -1.6835
2.1676 -10.2141 -0.4300
2.8381 -8.8129 -3.5604
0.6648 -6.4608 -5.1298
1.9120 -5.4570 -1.9292
3.9898 -7.4754 -0.2038
-0.4823 -4.5834 0.3557
-0.7116 -3.4264 -4.6145
0.0308 -8.1624 -2.2281
1.3289 -6.9894 1.2283
-1.6131 -5.5140 -2.5661
```

Values from the calculation:
ΔH_f (0 K) (eV/f.u.): -1.00
VASP energy (eV per atom): -1.881
Density of states at the Fermi level (states/eV/f.u.): 3.89
Magnetization (μB/cell): 0.00

The following is a DFT calculation (PBE) of a relaxed P3C crystal.

The structure in POSCAR format:
```
P3C
1.0
-2.4053 0.7489 -1.3919
-0.9699 -2.2634 3.3884
1.0214 5.1058 1.4978
P C
3 1
Cartesian
-1.9150 0.4442 0.1381
-0.4655 0.2010 3.4324
-1.7215 3.5096 1.9307
-0.0935 0.6105 0.0563
```

Values from the calculation:
ΔH_f (0 K) (eV/f.u.): 1.77
VASP energy (eV per atom): -5.920
Density of states at the Fermi level (states/eV/f.u.): 0.82
E above lowest polymorph (meV per atom): 35
Magnetization (μB/cell): 0.00

The following is a DFT calculation (PBE) of a relaxed Pa2Hg2I7 crystal.

The structure in POSCAR format:
```
Pa2Hg2I7
1.0
4.7422 -5.8539 0.0000
4.7422 5.8539 0.0000
0.0000 0.0000 9.7046
Pa Hg I
2 2 7
Cartesian
4.7422 2.5195 0.0000
4.7422 -2.5195 0.0000
1.7335 0.0000 4.8523
7.7509 0.0000 4.8523
2.3711 2.9269 7.6664
2.3711 -2.9269 2.0382
2.3711 2.9269 2.0382
2.3711 -2.9269 7.6664
0.0000 0.0000 0.0000
4.7422 0.0000 1.8953
4.7422 0.0000 7.8093
```

Values from the calculation:
VASP energy (eV per atom): -3.435
Density of states at the Fermi level (states/eV/f.u.): 13.92
ΔE_f (raw) (meV/atom): -667
Magnetization (μB/cell): 3.00

The following is a DFT calculation (PBE) of a relaxed TiZnCu6 crystal.

The structure in POSCAR format:
```
TiZnCu6
1.0
3.5484 0.0000 0.9687
1.6263 4.1212 1.0263
0.0068 -0.0530 6.9588
Ti Zn Cu
1 1 6
Cartesian
0.8165 2.0341 3.9926
0.0000 0.0000 0.0000
2.3131 3.5611 5.4940
2.1841 0.9711 5.9663
1.5019 1.5538 1.4817
2.9973 3.0969 2.9875
2.8683 0.5070 3.4598
3.6795 2.5143 7.4721
```

Values from the calculation:
ΔH_f (0 K) (eV/f.u.): -0.57
VASP energy (eV per atom): -4.289
Density of states at the Fermi level (states/eV/f.u.): 3.26
E above lowest polymorph (meV per atom): 0
Magnetization (μB/cell): 0.00

The following is a DFT calculation (PBE) of a relaxed YErTe2O8 crystal.

The structure in POSCAR format:
```
YErTe2O8
1.0
6.2138 0.1746 0.0000
-2.5995 5.6466 0.0000
-1.8072 -2.9106 5.1869
Y Er Te O
1 1 2 8
Cartesian
0.0000 0.0000 0.0000
-1.2997 2.8233 2.5935
3.1069 0.0873 2.5935
1.8072 2.9106 0.0000
1.5558 -0.5951 1.6356
0.2523 2.2482 0.9716
0.0959 -1.6874 4.2153
3.1832 -1.6056 3.5513
3.3621 3.5731 0.9716
4.6580 0.7697 1.6356
3.0306 1.7802 3.5513
-0.0959 1.6874 4.2153
```

Values from the calculation:
VASP energy (eV per atom): -6.693
Density of states at the Fermi level (states/eV/f.u.): 1.85
ΔE_f (raw) (meV/atom): -1945
Magnetization (μB/cell): 0.00

The following is a DFT calculation (PBE) of a relaxed SrSmCu2S4 crystal.

The structure in POSCAR format:
```
SrSmCu2S4
1.0
6.6439 0.0000 0.0000
3.3220 5.0994 0.1810
3.3220 0.5983 5.0674
Sr Sm Cu S
1 1 2 4
Cartesian
6.6439 2.8488 2.6242
0.0000 0.0000 0.0000
3.3220 1.4250 1.3126
9.9659 4.2727 3.9358
4.8465 0.3449 2.7610
4.8465 5.3527 2.4874
8.4414 2.7800 0.1175
8.4414 2.9177 5.1309
```

Values from the calculation:
VASP energy (eV per atom): -5.041
Density of states at the Fermi level (states/eV/f.u.): 2.14
ΔE_f (raw) (meV/atom): -1153
Magnetization (μB/cell): 0.00

The following is a DFT calculation (PBE) of a relaxed Sr2Zn3Ge4Pt crystal.

The structure in POSCAR format:
```
Sr2Zn3Ge4Pt
1.0
-3.0668 3.1461 0.3098
-2.1251 -2.3712 3.0432
5.6490 4.7536 7.6487
Sr Zn Ge Pt
2 3 4 1
Cartesian
-0.1001 2.7792 2.0956
3.1531 2.3619 7.2296
2.8245 2.3768 3.8244
3.3535 5.6854 6.7718
-0.3005 -0.5443 2.5534
-2.5960 0.3874 1.6765
0.0000 0.0000 0.0000
2.0074 4.5526 4.9491
1.0456 0.5884 4.3761
0.2285 2.7642 5.5008
```

Values from the calculation:
ΔH_f (0 K) (eV/f.u.): -4.57
VASP energy (eV per atom): -3.627
Density of states at the Fermi level (states/eV/f.u.): 2.90
Magnetization (μB/cell): 0.00

The following is a DFT calculation (PBE) of a relaxed SrZr2As crystal.

The structure in POSCAR format:
```
SrZr2As
1.0
-0.7413 -3.2892 -1.0545
-0.4092 -0.9872 3.3673
-8.1394 1.9667 -0.4125
Sr As Zr
1 1 2
Cartesian
-6.6798 -0.6632 0.8470
-2.6101 -1.6466 1.0533
-0.6515 0.1574 -0.0330
-3.4182 0.8259 -0.1732
```

Values from the calculation:
ΔH_f (0 K) (eV/f.u.): -0.63
VASP energy (eV per atom): -6.014
Density of states at the Fermi level (states/eV/f.u.): 5.57
Magnetization (μB/cell): 1.36

The following is a DFT calculation (PBE) of a relaxed AlGa2Tc2 crystal.

The structure in POSCAR format:
```
AlGa2Tc2
1.0
6.7161 0.0000 0.0000
0.0000 6.7161 0.0000
0.0000 0.0000 3.2794
Tc Ga Al
4 4 2
Cartesian
1.1321 4.4901 1.6397
4.4901 5.5840 1.6397
5.5840 2.2259 1.6397
2.2259 1.1321 1.6397
2.4756 5.8336 0.0000
5.8336 4.2405 0.0000
4.2405 0.8825 0.0000
0.8825 2.4756 0.0000
0.0000 0.0000 0.0000
3.3580 3.3580 0.0000
```

Values from the calculation:
ΔH_f (0 K) (eV/f.u.): -0.46
VASP energy (eV per atom): -6.198
Density of states at the Fermi level (states/eV/f.u.): 2.96
E above lowest polymorph (meV per atom): 46
Magnetization (μB/cell): 0.00

The following is a DFT calculation (PBE) of a relaxed Ag3W crystal.

The structure in POSCAR format:
```
Ag3W
1.0
-1.5812 0.0786 2.2707
2.4332 -1.2631 0.3831
4.0827 8.6360 2.5439
Ag W
3 1
Cartesian
0.0075 0.0159 0.0047
2.0338 4.3021 1.2672
3.4880 5.8848 3.2348
1.4466 1.5668 1.9629
```

Values from the calculation:
ΔH_f (0 K) (eV/f.u.): 1.66
VASP energy (eV per atom): -4.963
Density of states at the Fermi level (states/eV/f.u.): 2.93
E above lowest polymorph (meV per atom): 25
Magnetization (μB/cell): 0.00

The following is a DFT calculation (PBE) of a relaxed Ti2VFeMo crystal.

The structure in POSCAR format:
```
Ti2VFeMo
1.0
-3.4548 0.5585 -3.0457
0.3324 -4.1514 -1.1383
-3.0758 -1.1454 3.2789
Mo Ti Fe V
1 2 1 1
Cartesian
0.0000 0.0000 0.0000
-1.5379 -0.5727 1.6395
-1.7274 0.2793 -1.5228
0.1662 -2.0757 -0.5692
-3.0991 -2.3692 -0.4526
```

Values from the calculation:
ΔH_f (0 K) (eV/f.u.): 6.19
VASP energy (eV per atom): -7.603
Density of states at the Fermi level (states/eV/f.u.): 7.27
Magnetization (μB/cell): 0.11

The following is a DFT calculation (PBE) of a relaxed TlSn3Pb2 crystal.

The structure in POSCAR format:
```
TlSn3Pb2
1.0
6.2615 0.0000 0.0000
0.0000 6.4566 0.0000
0.0000 0.0000 9.0297
Tl Sn Pb
2 6 4
Cartesian
4.6961 3.2283 5.5098
1.5654 3.2283 3.5199
0.0000 0.0000 0.0000
3.1307 0.0000 0.0000
4.6961 1.5519 2.6485
4.6961 4.9047 2.6485
1.5654 1.5519 6.3812
1.5654 4.9047 6.3812
1.5654 3.2283 0.2228
1.5654 0.0000 3.1604
4.6961 0.0000 5.8693
4.6961 3.2283 8.8069
```

Values from the calculation:
ΔH_f (0 K) (eV/f.u.): 0.45
VASP energy (eV per atom): -3.556
Density of states at the Fermi level (states/eV/f.u.): 2.73
E above lowest polymorph (meV per atom): 25
Magnetization (μB/cell): 0.00